No. 1
{"formula": "GdScAsO", "functional": "PBE-GGA", "state": "optimized geometry", "lattice_angstrom": [[-1.3742, -3.1239, 2.1310], [2.8737, -3.5276, -3.3181], [5.5438, 0.4848, 4.2858]], "species": ["As", "As", "O", "O", "Gd", "Gd", "Sc", "Sc"], "fractional_positions": [[0.0000, 0.8084, 0.8084], [0.0000, 0.1916, 0.3084], [0.5000, 0.7309, 0.4036], [0.5000, 0.2691, 0.9036], [0.5000, 0.9133, 0.1024], [0.5000, 0.0867, 0.6024], [0.0000, 0.3549, 0.9396], [0.0000, 0.6451, 0.4396]], "dft_energy_ev_per_atom": -7.214, "relative_energy_mev_per_atom": 34.8, "spacegroup": "Pmc2_1 (26)"}

***

No. 2
{"formula": "SmCdPb2", "functional": "PBE-GGA", "state": "optimized geometry", "lattice_angstrom": [[4.9060, 0.0000, 0.0000], [0.0000, 4.9060, 0.0000], [0.0000, 0.0000, 4.5948]], "species": ["Pb", "Pb", "Cd", "Sm"], "fractional_positions": [[0.0000, 0.5000, 0.0000], [0.5000, 0.0000, 0.0000], [0.0000, 0.0000, 0.5000], [0.5000, 0.5000, 0.5000]], "dft_energy_ev_per_atom": -3.626, "spacegroup": "P4/mmm (123)"}

***

No. 3
{"formula": "ZrB4Os", "functional": "PBE-GGA", "state": "optimized geometry", "lattice_angstrom": [[3.2099, 0.0000, 0.0000], [-1.6050, 2.7799, 0.0000], [0.0000, 0.0000, 6.3729]], "species": ["Os", "Zr", "B", "B", "B", "B"], "fractional_positions": [[0.0000, 0.0000, 0.5000], [0.0000, 0.0000, 0.0000], [0.3333, 0.6667, 0.2682], [0.6667, 0.3333, 0.2682], [0.3333, 0.6667, 0.7318], [0.6667, 0.3333, 0.7318]], "dft_energy_ev_per_atom": -7.981, "relative_energy_mev_per_atom": 283.2, "spacegroup": "P6/mmm (191)"}

***

No. 4
{"formula": "La2NdSi4Pd2Pt2", "functional": "PBE-GGA", "state": "optimized geometry", "lattice_angstrom": [[-2.0887, 2.1329, 12.5035], [2.0887, -2.1329, 12.5035], [2.0887, 2.1329, -12.5035]], "species": ["Si", "Si", "Si", "Si", "Pd", "Pd", "La", "La", "Pt", "Pt", "Nd"], "fractional_positions": [[0.5474, 0.5474, 0.0000], [0.8035, 0.3035, 0.5000], [0.4526, 0.4526, 0.0000], [0.1965, 0.6965, 0.5000], [0.0973, 0.5973, 0.5000], [0.9027, 0.4027, 0.5000], [0.3539, 0.8539, 0.5000], [0.6461, 0.1461, 0.5000], [0.7520, 0.7520, 0.0000], [0.2480, 0.2480, 0.0000], [0.0000, 0.0000, 0.0000]], "dft_energy_ev_per_atom": -6.351, "spacegroup": "Immm (71)"}

***

No. 5
{"formula": "Zr4AlAsC2", "functional": "PBE-GGA", "state": "optimized geometry", "lattice_angstrom": [[-3.3050, 0.4452, 0.6190], [2.0151, -1.2978, 2.3999], [2.5707, 12.6073, 4.6594]], "species": ["Zr", "Zr", "Zr", "Zr", "Al", "C", "C", "As"], "fractional_positions": [[0.0000, 0.0000, 0.8549], [0.3333, 0.6667, 0.3299], [0.3333, 0.6667, 0.6701], [0.0000, 0.0000, 0.1451], [0.0000, 0.0000, 0.5000], [0.6667, 0.3333, 0.7617], [0.6667, 0.3333, 0.2383], [0.3333, 0.6667, 0.0000]], "dft_energy_ev_per_atom": -8.424, "spacegroup": "P-6m2 (187)"}

***

No. 6
{"formula": "Gd", "functional": "PBE-GGA", "state": "optimized geometry", "lattice_angstrom": [[3.5832, 0.0000, 0.0000], [1.7916, 3.1604, 0.0000], [0.0000, 0.0000, 5.7348]], "species": ["Gd", "Gd"], "fractional_positions": [[0.1633, 0.6735, 0.7500], [0.8367, 0.3265, 0.2500]], "dft_energy_ev_per_atom": -4.637, "formation_enthalpy_0k_mev_per_atom": 17, "relative_energy_mev_per_atom": 17.4, "spacegroup": "Cmcm (63)"}

***

No. 7
{"formula": "PrTm2Mg3Tl2Hg", "functional": "PBE-GGA", "state": "optimized geometry", "lattice_angstrom": [[-4.4948, -1.1132, 0.1501], [0.7881, -4.0409, -6.3720], [1.0106, -3.1609, 6.8220]], "species": ["Tl", "Tl", "Hg", "Mg", "Mg", "Mg", "Tm", "Tm", "Pr"], "fractional_positions": [[0.5000, 0.6749, 0.3319], [0.5000, 0.3319, 0.6749], [0.0000, 0.9874, 0.9874], [0.5000, 0.0003, 0.2374], [0.5000, 0.7596, 0.7596], [0.5000, 0.2374, 0.0003], [0.0000, 0.0031, 0.5830], [0.0000, 0.5830, 0.0031], [0.0000, 0.4223, 0.4223]], "dft_energy_ev_per_atom": -2.958, "spacegroup": "Amm2 (38)"}

***

No. 8
{"formula": "BeNbNi2", "functional": "PBE-GGA", "state": "optimized geometry", "lattice_angstrom": [[-2.7139, 0.7074, 2.9324], [0.0502, 3.5288, 2.0025], [-2.9631, 2.7090, -0.5884]], "species": ["Ni", "Ni", "Be", "Nb"], "fractional_positions": [[0.0000, 0.0000, 0.0000], [0.7500, 0.7500, 0.7500], [0.5000, 0.5000, 0.5000], [0.2500, 0.2500, 0.2500]], "dft_energy_ev_per_atom": -6.340, "spacegroup": "F-43m (216)"}